The following is a DFT calculation (PBE) of Rb2Mg2Mn after structural relaxation. Values from VASP.

Results
- SG: P4/mbm, No. 127
- Calculated formation energy: 831 meV per atom
- Polymorph energy (0 for the lowest one): 156 meV/atom

```
&SYSTEM
  ibrav = 0, nat = 10, ntyp = 3
/
ATOMIC_SPECIES
Mg 24.30 Mg.upf
Mn 54.94 Mn.upf
Rb 85.47 Rb.upf
CELL_PARAMETERS angstrom
-9.736 0.655 5.274
0.256 -10.937 1.832
1.704 0.555 3.077
ATOMIC_POSITIONS crystal
Mg 0.098 0.598 0.500
Mg 0.402 0.098 0.500
Mg 0.902 0.402 0.500
Mg 0.598 0.902 0.500
Mn 0.000 0.000 0.000
Mn 0.500 0.500 0.000
Rb 0.694 0.194 0.000
Rb 0.306 0.806 0.000
Rb 0.806 0.694 0.000
Rb 0.194 0.306 0.000
```